(1)
PBE HfZrTcSn2, relaxed; final energy = -6.386 eV/atom; crystal system = tetragonal; DFT formation energy = 0.988 eV per atom; density of states at the Fermi level = 1.075 states/eV/atom; SG = P4/mmm
1.0
5.3639 0.0000 0.0000
0.0000 5.3639 0.0000
0.0000 0.0000 4.6415
Hf Zr Tc Sn
1 1 1 2
Direct
0.0000 0.0000 0.0000
0.5000 0.5000 0.5000
0.0000 0.0000 0.5000
0.0000 0.5000 0.0000
0.5000 0.0000 0.0000


(2)
PBE CaTi2O4, relaxed; final energy = -8.168 eV/atom; crystal system = orthorhombic; density of states at the Fermi level = 0.509 states/eV/atom; SG = Imma; raw formation energy = -2.7931 eV/atom
1.0
-3.0776 3.1637 4.4721
3.0776 -3.1637 4.4721
3.0776 3.1637 -4.4721
Ca Ti O
2 4 8
Direct
0.0000 0.0000 0.0000
0.5000 0.0000 0.5000
0.0000 0.0000 0.5000
0.0000 0.5000 0.0000
0.3680 0.6180 0.7500
0.6320 0.3820 0.2500
0.2331 0.7389 0.4941
0.2359 0.2538 0.5179
0.2359 0.7180 0.9821
0.2552 0.2611 0.9941
0.7448 0.7389 0.0059
0.7641 0.2820 0.0179
0.7641 0.7462 0.4821
0.7669 0.2611 0.5059